Computed, not measured: a crystal of TlAs2Au relaxed with PBEsol at the SCAN level of DFT.

## Properties
Mass density (Mg/m³): 9.87
Excess energy over the best structure of this formula in the dataset (meV/atom): 0.0
Calculated total energy (eV/atom): -45.593
V (Å³/cell): 92.77

Cell lengths 4.5436, 3.9879, 5.3182 Å; angles 90.00, 105.69, 90.00 degrees
With the nearest neighbours (Å) after each atom.
Space group P2/m (No. 10)
Symmetry-distinct sites (fractional):
Tl: 0.0000 0.0000 0.0000 [1 per cell]  2 Au 2.99, 4 As 3.09
As: 0.2487 0.5000 0.6627 [2 per cell]  1 As 2.45, 2 Au 2.56
Au: 0.5000 0.0000 0.5000 [1 per cell]  4 As 2.56